PdPtC2O: optimized geometry, GGA-PBE.

Cell and atoms, written as POSCAR:
```
PdPtC2O
1.0
3.916 0.000 0.000
0.000 3.936 0.000
0.000 0.000 3.916
O C Pd Pt
1 2 1 1
Cartesian
0.000 0.000 0.000
0.000 0.000 1.958
1.958 0.000 0.000
1.958 1.968 1.958
0.000 1.968 0.000
```

Calculated values
For the energy relative to the elements, uncorrected, the calculation gives 1071 kJ/mol of formula units.

---

SnPdC2O: optimized geometry, GGA-PBE.

Cell and atoms, written as POSCAR:
```
SnPdC2O
1.0
-3.080 0.470 -2.749
-0.630 -5.227 -0.189
-2.744 0.218 3.112
O C Sn Pd
1 2 1 1
Cartesian
-3.227 -2.269 0.087
-1.372 0.109 1.556
-1.540 0.235 -1.375
0.000 0.000 0.000
-0.315 -2.614 -0.094
```

Calculated values
For the energy relative to the elements, uncorrected, the calculation gives 1285 kJ/mol of formula units.

---

SrPdC2O6: optimized geometry, GGA-PBE.

Cell and atoms, written as POSCAR:
```
SrPdC2O6
1.0
5.088 0.000 0.000
2.544 4.406 0.000
2.544 1.469 5.735
Sr Pd C O
1 1 2 6
Cartesian
0.000 0.000 0.000
5.088 2.938 2.868
7.632 4.406 4.150
2.544 1.469 1.586
3.275 3.333 4.178
5.652 1.170 4.178
3.839 1.565 1.557
6.901 2.542 1.557
4.524 4.705 1.557
6.337 4.310 4.178
```

Calculated values
For the energy relative to the elements, uncorrected, the calculation gives -1466 kJ/mol of formula units.

---

TlPd2CO: optimized geometry, GGA-PBE.

Cell and atoms, written as POSCAR:
```
TlPd2CO
1.0
-4.011 0.307 -0.394
-0.502 -3.996 1.996
-0.214 1.825 3.600
C Tl O Pd
1 1 1 2
Cartesian
0.000 0.000 0.000
-2.363 -0.932 2.601
-0.251 -1.998 0.998
-0.107 0.913 1.800
-2.005 0.153 -0.197
```

Calculated values
For the energy relative to the elements, uncorrected, the calculation gives 233 kJ/mol of formula units.

---

Pm2CO: optimized geometry, GGA-PBE.

Cell and atoms, written as POSCAR:
```
Pm2CO
1.0
3.681 0.000 0.000
0.000 5.109 0.000
0.000 0.000 7.324
Pm C O
4 2 2
Cartesian
0.000 0.000 6.386
0.000 0.000 2.768
1.841 2.555 4.556
1.841 2.555 0.939
1.841 0.000 4.674
0.000 2.555 2.651
0.000 2.555 6.428
1.841 0.000 0.897
```

Calculated values
The energy above the lowest structure with this stoichiometry comes out at 8 meV per atom. For the energy relative to the elements, uncorrected, the calculation gives -587 kJ/mol of formula units.

---

Pm2CO: optimized geometry, GGA-PBE.

Cell and atoms, written as POSCAR:
```
Pm2CO
1.0
-1.714 2.932 -1.222
-2.107 -0.227 -2.922
-6.163 -0.444 2.249
Pm C O
2 1 1
Cartesian
-4.944 -0.108 1.344
-2.354 0.604 -0.579
-2.553 1.802 -2.758
-5.125 1.094 -0.849
```

Calculated values
The energy above the lowest structure with this stoichiometry comes out at 141 meV per atom. For the energy relative to the elements, uncorrected, the calculation gives -536 kJ/mol of formula units.

---

Pm6CO5: optimized geometry, GGA-PBE.

Cell and atoms, written as POSCAR:
```
Pm6CO5
1.0
-4.727 -3.606 1.727
5.074 -2.503 -2.514
2.248 1.494 5.584
C O Pm
1 5 6
Cartesian
0.000 0.000 0.000
-2.031 -2.682 3.839
-1.473 -3.240 0.319
1.297 -2.307 2.398
1.820 -2.869 -1.106
4.626 -1.933 0.958
-0.966 -1.319 1.885
0.344 -3.658 4.304
1.782 -0.392 4.017
0.813 -4.223 0.780
2.251 -0.957 0.493
3.561 -3.296 2.912
```

Calculated values
For the energy relative to the elements, uncorrected, the calculation gives -2796 kJ/mol of formula units.

---

Pm4CO2: optimized geometry, GGA-PBE.

Cell and atoms, written as POSCAR:
```
Pm4CO2
1.0
-1.777 6.134 3.695
-4.741 1.846 -5.343
-7.576 -5.168 4.937
C O Pm
4 8 16
Cartesian
-7.315 -1.211 -1.507
-6.137 -2.305 4.649
-3.216 3.271 3.983
-1.214 0.473 -1.368
-11.611 1.578 3.060
-4.990 2.210 -2.597
-7.210 1.894 4.652
-4.376 -0.059 1.463
-5.590 4.207 1.319
-2.092 3.536 0.491
-8.213 1.860 0.330
-8.503 -1.396 1.969
-8.918 0.782 -1.794
-9.720 3.798 -0.040
-6.969 -3.295 2.423
-1.447 4.572 2.653
-10.396 -2.646 3.184
-3.974 2.246 1.681
-10.074 0.596 1.579
-6.623 -0.104 0.779
-3.727 5.469 0.071
-7.440 2.904 2.543
-7.818 -0.331 4.201
-6.320 3.111 -0.884
-4.824 5.211 3.458
-8.101 -3.530 5.758
-7.184 6.065 0.905
-9.209 -2.359 -0.208
```

Calculated values
For the energy relative to the elements, uncorrected, the calculation gives -1065 kJ/mol of formula units.

---

no.,spin magnetization (μB per cell),energy (eV for the cell shown)
1,0.0,-23.5
2,0.3,-19.3
3,2.0,-70.3
4,0.0,-24.5
5,0.0,-59.5
6,0.0,-29.2
7,0.0,-91.5
8,1.7,-196.7